DFT (GGA-PBE) results for a relaxed structure of K2ZrBi.

Output
DOS(E_F) = 14.18 states/eV/cell
Space-group type = I-42d, No. 122
Formation energy = 453 meV per atom
ρ = 2.8 g/cm³

Lattice parameters (Å, degrees): 12.5239 12.5239 5.7271 90.00 90.00 90.00
With the nearest neighbours (Å) after each atom.
Element x y z (fractional)
K 0.1172 0.2500 0.1250  2 Bi 3.53
K 0.2500 0.6172 0.3750  2 Bi 3.53
K 0.2500 0.8828 0.8750  2 Bi 3.53
K 0.3828 0.2500 0.6250  2 Bi 3.53
K 0.6172 0.7500 0.6250  2 Bi 3.53
K 0.7500 0.1172 0.8750  2 Bi 3.53
K 0.7500 0.3828 0.3750  2 Bi 3.53
K 0.8828 0.7500 0.1250  2 Bi 3.53
Zr 0.0000 0.0000 0.5000  2 Bi 2.86
Zr 0.0000 0.5000 0.7500  2 Bi 2.86
Zr 0.5000 0.0000 0.2500  2 Bi 2.86
Zr 0.5000 0.5000 0.0000  2 Bi 2.86
Bi 0.0000 0.0000 0.0000  2 Zr 2.86
Bi 0.0000 0.5000 0.2500  2 Zr 2.86
Bi 0.5000 0.0000 0.7500  2 Zr 2.86
Bi 0.5000 0.5000 0.5000  2 Zr 2.86

***

DFT (GGA-PBE) results for a relaxed structure of LaBi.

Output
Space-group type = I-43m, No. 217
Formation energy = -452 meV per atom
ρ = 4.4 g/cm³
Relative energy among the computed polymorphs = 604 meV/atom

Lattice parameters (Å, degrees): 10.1299 10.1299 10.1299 90.00 90.00 90.00
With the nearest neighbours (Å) after each atom.
Element x y z (fractional)
La 0.1547 0.1547 0.1547  4 Bi 3.21
La 0.1547 0.8453 0.8453  4 Bi 3.21
La 0.3453 0.3453 0.6547  4 Bi 3.21
La 0.3453 0.6547 0.3453  4 Bi 3.21
La 0.6547 0.3453 0.3453  4 Bi 3.21
La 0.6547 0.6547 0.6547  4 Bi 3.21
La 0.8453 0.1547 0.8453  4 Bi 3.21
La 0.8453 0.8453 0.1547  4 Bi 3.21
Bi 0.1623 0.1623 0.8377  4 La 3.21
Bi 0.1623 0.8377 0.1623  4 La 3.21
Bi 0.3377 0.3377 0.3377  4 La 3.21
Bi 0.3377 0.6623 0.6623  4 La 3.21
Bi 0.6623 0.3377 0.6623  4 La 3.21
Bi 0.6623 0.6623 0.3377  4 La 3.21
Bi 0.8377 0.1623 0.1623  4 La 3.21
Bi 0.8377 0.8377 0.8377  4 La 3.21

***

DFT (GGA-PBE) results for a relaxed structure of La5Bi.

Output
DOS(E_F) = 16.72 states/eV/cell
Space-group type = Cmmm, No. 65
Formation energy = -300 meV per atom
ρ = 7.3 g/cm³

Lattice parameters (Å, degrees): 5.0256 16.2831 5.0507 90.00 90.00 90.00
With the nearest neighbours (Å) after each atom.
Element x y z (fractional)
La 0.0000 0.0000 0.0000  4 Bi 3.56, 8 La 3.60-3.62
La 0.0000 0.1594 0.5000  10 La 3.56-3.89, 2 Bi 3.61
La 0.0000 0.3414 0.0000  10 La 3.56-3.90, 2 Bi 3.61
La 0.0000 0.6586 0.0000  10 La 3.56-3.90, 2 Bi 3.61
La 0.0000 0.8406 0.5000  10 La 3.56-3.89, 2 Bi 3.61
La 0.5000 0.1586 0.0000  10 La 3.56-3.90, 2 Bi 3.61
La 0.5000 0.3406 0.5000  10 La 3.56-3.89, 2 Bi 3.61
La 0.5000 0.5000 0.0000  4 Bi 3.56, 8 La 3.60-3.62
La 0.5000 0.6594 0.5000  10 La 3.56-3.89, 2 Bi 3.61
La 0.5000 0.8414 0.0000  10 La 3.56-3.90, 2 Bi 3.61
Bi 0.0000 0.5000 0.5000  12 La 3.56-3.61
Bi 0.5000 0.0000 0.5000  12 La 3.56-3.61

***

DFT (GGA-PBE) results for a relaxed structure of La4Bi3.

Output
DOS(E_F) = 19.47 states/eV/cell
Space-group type = I-43d, No. 220
Formation energy = -925 meV per atom
ρ = 8.1 g/cm³
Relative energy among the computed polymorphs = 0 meV/atom

Lattice parameters (Å, degrees): 8.5568 8.5568 8.5568 109.47 109.47 109.47
With the nearest neighbours (Å) after each atom.
Element x y z (fractional)
La 0.0000 0.1430 0.5000  6 Bi 3.30-3.55
La 0.0000 0.6430 0.5000  6 Bi 3.30-3.55
La 0.1430 0.5000 0.0000  6 Bi 3.30-3.55
La 0.3570 0.3570 0.3570  6 Bi 3.30-3.55
La 0.5000 0.0000 0.1430  6 Bi 3.30-3.55
La 0.5000 0.0000 0.6430  6 Bi 3.30-3.55
La 0.6430 0.5000 0.0000  6 Bi 3.30-3.55
La 0.8570 0.8570 0.8570  6 Bi 3.30-3.55
Bi 0.1250 0.8750 0.2500  8 La 3.30-3.55
Bi 0.2500 0.1250 0.8750  8 La 3.30-3.55
Bi 0.3750 0.6250 0.7500  8 La 3.30-3.55
Bi 0.6250 0.7500 0.3750  8 La 3.30-3.55
Bi 0.7500 0.3750 0.6250  8 La 3.30-3.55
Bi 0.8750 0.2500 0.1250  8 La 3.30-3.55

***

DFT (GGA-PBE) results for a relaxed structure of LaBi2.

Output
DOS(E_F) = 5.40 states/eV/cell
Space-group type = Cmmm, No. 65
Formation energy = -726 meV per atom
ρ = 9.5 g/cm³

Lattice parameters (Å, degrees): 4.7575 17.2133 4.7617 90.00 90.00 90.00
With the nearest neighbours (Å) after each atom.
Element x y z (fractional)
La 0.0000 0.1435 0.0000  10 Bi 3.43-3.83
La 0.0000 0.8565 0.0000  10 Bi 3.43-3.83
La 0.5000 0.3565 0.0000  10 Bi 3.43-3.83
La 0.5000 0.6435 0.0000  10 Bi 3.43-3.83
Bi 0.0000 0.0000 0.5000  4 Bi 3.37, 4 La 3.43
Bi 0.0000 0.3180 0.5000  2 Bi 3.34, 4 La 3.43
Bi 0.0000 0.5000 0.0000  4 Bi 3.37, 4 La 3.43
Bi 0.0000 0.6820 0.5000  2 Bi 3.34, 4 La 3.43
Bi 0.5000 0.0000 0.0000  4 Bi 3.37, 4 La 3.43
Bi 0.5000 0.1820 0.5000  2 Bi 3.34, 4 La 3.43
Bi 0.5000 0.5000 0.5000  4 Bi 3.37, 4 La 3.43
Bi 0.5000 0.8180 0.5000  2 Bi 3.34, 4 La 3.43

***

DFT (GGA-PBE) results for a relaxed structure of LaBi.

Output
Space-group type = F-43m, No. 216
Formation energy = -517 meV per atom
ρ = 5.7 g/cm³
Relative energy among the computed polymorphs = 540 meV/atom

Lattice parameters (Å, degrees): 7.4032 7.4032 7.4032 90.00 90.00 90.00
With the nearest neighbours (Å) after each atom.
Element x y z (fractional)
La 0.0000 0.0000 0.0000  4 Bi 3.21
La 0.0000 0.5000 0.5000  4 Bi 3.21
La 0.5000 0.0000 0.5000  4 Bi 3.21
La 0.5000 0.5000 0.0000  4 Bi 3.21
Bi 0.2500 0.2500 0.7500  4 La 3.21
Bi 0.2500 0.7500 0.2500  4 La 3.21
Bi 0.7500 0.2500 0.2500  4 La 3.21
Bi 0.7500 0.7500 0.7500  4 La 3.21

***

DFT (GGA-PBE) results for a relaxed structure of LaBi.

Output
Space-group type = Pm-3n, No. 223
Formation energy = -472 meV per atom
ρ = 4.6 g/cm³
Relative energy among the computed polymorphs = 585 meV/atom

Lattice parameters (Å, degrees): 9.0706 9.0706 9.0706 90.00 90.00 90.00
With the nearest neighbours (Å) after each atom.
Element x y z (fractional)
La 0.0000 0.2500 0.5000  4 Bi 3.21
La 0.0000 0.7500 0.5000  4 Bi 3.21
La 0.2500 0.5000 0.0000  4 Bi 3.21
La 0.5000 0.0000 0.2500  4 Bi 3.21
La 0.5000 0.0000 0.7500  4 Bi 3.21
La 0.7500 0.5000 0.0000  4 Bi 3.21
Bi 0.0000 0.5000 0.2500  4 La 3.21
Bi 0.0000 0.5000 0.7500  4 La 3.21
Bi 0.2500 0.0000 0.5000  4 La 3.21
Bi 0.5000 0.2500 0.0000  4 La 3.21
Bi 0.5000 0.7500 0.0000  4 La 3.21
Bi 0.7500 0.0000 0.5000  4 La 3.21

***

DFT (GGA-PBE) results for a relaxed structure of LaBi.

Output
DOS(E_F) = 0.79 states/eV/cell
Space-group type = I4/m, No. 87
Formation energy = -782 meV per atom
ρ = 5.6 g/cm³
Relative energy among the computed polymorphs = 275 meV/atom

Lattice parameters (Å, degrees): 11.1753 11.1753 6.5677 90.00 90.00 90.00
With the nearest neighbours (Å) after each atom.
Element x y z (fractional)
La 0.1425 0.3562 0.0000  5 Bi 3.27-3.29
La 0.1438 0.6425 0.5000  5 Bi 3.27-3.29
La 0.3562 0.8575 0.0000  5 Bi 3.27-3.29
La 0.3575 0.1438 0.5000  5 Bi 3.27-3.29
La 0.6425 0.8562 0.5000  5 Bi 3.27-3.29
La 0.6438 0.1425 0.0000  5 Bi 3.27-3.29
La 0.8562 0.3575 0.5000  5 Bi 3.27-3.29
La 0.8575 0.6438 0.0000  5 Bi 3.27-3.29
Bi 0.1492 0.3488 0.5000  5 La 3.27-3.29
Bi 0.1512 0.6492 0.0000  5 La 3.27-3.29
Bi 0.3488 0.8508 0.5000  5 La 3.27-3.29
Bi 0.3508 0.1512 0.0000  5 La 3.27-3.29
Bi 0.6492 0.8488 0.0000  5 La 3.27-3.29
Bi 0.6512 0.1492 0.5000  5 La 3.27-3.29
Bi 0.8488 0.3508 0.0000  5 La 3.27-3.29
Bi 0.8508 0.6512 0.5000  5 La 3.27-3.29